Entry from the Alexandria database: crystalline MnTcSe2Br at its relaxed geometry (GGA-PBE).

Computed properties:
formation energy (no corrections) = 3.20 eV per formula unit
ΔE to the lowest computed polymorph = 0 meV per atom
density = 5.33 g/cm³

Cell lengths 4.9474, 4.9474, 4.9730 Å; angles 90.00, 90.00, 90.00 degrees
Fractional positions:
Mn (0.0000, 0.0000, 0.0000)
Tc (0.5000, 0.5000, 0.5000)
Se (0.0000, 0.5000, 0.0000)
Se (0.5000, 0.0000, 0.0000)
Br (0.0000, 0.0000, 0.5000)